! Li2MnF, relaxed, DFT PBE+U; values from VASP
&SYSTEM
  ibrav = 0, nat = 16, ntyp = 3
/
ATOMIC_SPECIES
Li 6.94 Li.upf
Mn 54.94 Mn.upf
F 19.00 F.upf
CELL_PARAMETERS angstrom
5.9520 0.0000 0.0000
0.0000 5.9520 0.0000
0.0000 0.0000 8.2260
ATOMIC_POSITIONS angstrom
Li 0.3518 1.4880 1.0283
Li 1.4880 3.3278 3.0848
Li 1.4880 5.6002 7.1978
Li 2.6242 1.4880 5.1413
Li 3.3278 4.4640 5.1413
Li 4.4640 0.3518 7.1978
Li 4.4640 2.6242 3.0848
Li 5.6002 4.4640 1.0283
Mn 0.0000 0.0000 4.1130
Mn 0.0000 2.9760 6.1695
Mn 2.9760 0.0000 2.0565
Mn 2.9760 2.9760 0.0000
F 0.0000 0.0000 0.0000
F 0.0000 2.9760 2.0565
F 2.9760 0.0000 6.1695
F 2.9760 2.9760 4.1130
! Polymorph energy (0 for the lowest one) (meV per atom): 0
! V (Å³/atom): 18.21
! Total moment (Bohr magnetons per cell): 22.047
! Symmetry: No. 122